Material: PIr2Rh
Method: DFT, PBE
State: optimized geometry

Geometry as extended XYZ:
```
4
Lattice="1.383 -2.430 0.000 1.383 2.430 0.000 0.000 0.000 8.575" Properties=species:S:1:pos:R:3 pbc="T T T"
P 0.000 0.000 4.267
Ir 0.000 0.000 0.004
Ir 1.383 0.000 6.203
Rh 1.383 0.000 2.389
```

Calculated values
- energy of formation (eV per atom) = 0.214
- magnetic moment (μB/cell) = 0.00
- space-group type = Cmm2